Entry 1:
! Ce3As4Ru2Pt2 | Alexandria | PBE | relaxed; values from VASP
&SYSTEM
  ibrav = 0, nat = 11, ntyp = 4
/
ATOMIC_SPECIES
As 74.92 As.upf
Pt 195.08 Pt.upf
Ce 140.12 Ce.upf
Ru 101.07 Ru.upf
CELL_PARAMETERS angstrom
4.237 0.000 0.000
-2.119 3.669 0.000
0.000 0.000 14.599
ATOMIC_POSITIONS crystal
As 0.333 0.667 0.871
Pt 0.333 0.667 0.151
Ce 0.000 0.000 0.721
Ru 0.667 0.333 0.434
Ce 0.000 0.000 0.279
Ce 0.000 0.000 0.000
As 0.667 0.333 0.602
Ru 0.333 0.667 0.566
As 0.333 0.667 0.398
As 0.667 0.333 0.129
Pt 0.667 0.333 0.849
! - Spin magnetization: 1.269 μB/cell
! - Formation energy from the elements: -0.92 eV per atom
! - ρ: 9.6 g/cm3

Entry 2:
! SrCeAs2Pt2 | Alexandria | PBE | relaxed; values from VASP
&SYSTEM
  ibrav = 0, nat = 6, ntyp = 4
/
ATOMIC_SPECIES
Pt 195.08 Pt.upf
As 74.92 As.upf
Ce 140.12 Ce.upf
Sr 87.62 Sr.upf
CELL_PARAMETERS angstrom
-4.046 0.201 1.582
1.548 -3.760 -1.541
2.867 -1.924 7.576
ATOMIC_POSITIONS crystal
Pt 0.667 0.333 0.221
As 0.667 0.333 0.757
Ce 0.000 0.000 0.000
As 0.333 0.667 0.243
Sr 0.000 0.000 0.500
Pt 0.333 0.667 0.779
! - Spin magnetization: 0.438 μB/cell
! - Formation energy from the elements: -1.15 eV per atom
! - ρ: 9.3 g/cm3